Below is crystalline CoAgAs2 at its relaxed geometry, with properties calculated at the PBE level.

abc: 4.5358 4.5358 3.1742
angles: 90.00 90.00 94.80
Closest atoms and distances in Å follow each position.
Fractional coordinates of all 4 atoms:
Co: 0.0000 0.0000 0.0000  8 As 2.77, 2 Ag 3.07
Ag: 0.5000 0.5000 0.0000  8 As 2.77, 2 Co 3.07
As: 0.0000 0.5000 0.5000  4 Co 2.77, 4 Ag 2.77, 2 As 3.07
As: 0.5000 0.0000 0.5000  4 Co 2.77, 4 Ag 2.77, 2 As 3.07

Calculated values
SG ... No. 65
Formation energy ... 347 meV/atom
ΔE to the lowest computed polymorph ... 30.97 kJ per mole of atoms


Below is crystalline TcMoHOs2 at its relaxed geometry, with properties calculated at the PBE level.

abc: 3.9323 3.9323 3.9505
angles: 90.00 90.00 90.00
Closest atoms and distances in Å follow each position.
Fractional coordinates of all 5 atoms:
Tc: 0.0000 0.0000 0.0000  2 H 1.98
Mo: 0.5000 0.5000 0.0000  4 Tc 2.78, 8 Os 2.79
H: 0.0000 0.0000 0.5000  4 Os 1.97, 2 Tc 1.98
Os: 0.0000 0.5000 0.5000  2 H 1.97
Os: 0.5000 0.0000 0.5000  2 H 1.97

Calculated values
SG ... No. 123
ΔE to the lowest computed polymorph ... 0.00 kJ per mole of atoms


Below is crystalline TlSnTeI2 at its relaxed geometry, with properties calculated at the PBE level.

abc: 5.9918 5.9918 5.8684
angles: 90.00 90.00 90.00
Closest atoms and distances in Å follow each position.
Fractional coordinates of all 5 atoms:
Tl: 0.0000 0.0000 0.0000  2 Te 2.93, 4 I 3.00
Sn: 0.5000 0.5000 0.5000  8 I 4.19, 4 Te 4.24
Te: 0.0000 0.0000 0.5000  2 Tl 2.93
I: 0.0000 0.5000 0.0000  2 Tl 3.00
I: 0.5000 0.0000 0.0000  2 Tl 3.00

Calculated values
SG ... No. 123
E_form (uncorrected) ... 0.223 eV/atom
ΔE to the lowest computed polymorph ... 42.28 kJ per mole of atoms


Below is crystalline MgCrBr2 at its relaxed geometry, with properties calculated at the PBE level.

abc: 3.6263 3.6263 9.6903
angles: 90.00 90.00 117.84
Closest atoms and distances in Å follow each position.
Fractional coordinates of all 4 atoms:
Mg: 0.0000 0.0000 0.0000  2 Br 2.54
Cr: 0.5000 0.5000 0.2471  2 Br 2.50
Br: 0.0000 0.0000 0.4182  2 Cr 2.50
Br: 0.5000 0.5000 0.8224  2 Mg 2.54

Calculated values
SG ... No. 35
E_form (uncorrected) ... -0.326 eV/atom
ΔE to the lowest computed polymorph ... 9.21 kJ per mole of atoms


Below is crystalline Tb6NdHo12 at its relaxed geometry, with properties calculated at the PBE level.

abc: 9.3696 9.3696 9.3696
angles: 110.92 110.92 110.92
Closest atoms and distances in Å follow each position.
Fractional coordinates of all 19 atoms:
Tb: 0.0530 0.3687 0.5785  9 Ho 3.53-3.55, 3 Tb 3.53-3.55
Tb: 0.3687 0.5785 0.0530  9 Ho 3.53-3.55, 3 Tb 3.53-3.55
Tb: 0.4215 0.9470 0.6313  9 Ho 3.53-3.55, 3 Tb 3.53-3.55
Tb: 0.5785 0.0530 0.3687  9 Ho 3.53-3.55, 3 Tb 3.53-3.55
Tb: 0.6313 0.4215 0.9470  9 Ho 3.53-3.55, 3 Tb 3.53-3.55
Tb: 0.9470 0.6313 0.4215  9 Ho 3.53-3.55, 3 Tb 3.53-3.55
Nd: 0.0000 0.0000 0.0000  12 Ho 3.55
Ho: 0.1059 0.7366 0.1584  6 Ho 3.53-3.55, 5 Tb 3.54-3.55, 1 Nd 3.55
Ho: 0.1584 0.1059 0.7366  6 Ho 3.53-3.55, 5 Tb 3.54-3.55, 1 Nd 3.55
Ho: 0.2109 0.4749 0.3165  7 Ho 3.53-3.55, 4 Tb 3.53-3.54, 1 Nd 3.55
Ho: 0.2634 0.8416 0.8941  6 Ho 3.53-3.55, 5 Tb 3.54-3.55, 1 Nd 3.55
Ho: 0.3165 0.2109 0.4749  7 Ho 3.53-3.55, 4 Tb 3.53-3.54, 1 Nd 3.55
Ho: 0.4749 0.3165 0.2109  7 Ho 3.53-3.55, 4 Tb 3.53-3.54, 1 Nd 3.55
Ho: 0.5251 0.6835 0.7891  7 Ho 3.53-3.55, 4 Tb 3.53-3.54, 1 Nd 3.55
Ho: 0.6835 0.7891 0.5251  7 Ho 3.53-3.55, 4 Tb 3.53-3.54, 1 Nd 3.55
Ho: 0.7366 0.1584 0.1059  6 Ho 3.53-3.55, 5 Tb 3.54-3.55, 1 Nd 3.55
Ho: 0.7891 0.5251 0.6835  7 Ho 3.53-3.55, 4 Tb 3.53-3.54, 1 Nd 3.55
Ho: 0.8416 0.8941 0.2634  6 Ho 3.53-3.55, 5 Tb 3.54-3.55, 1 Nd 3.55
Ho: 0.8941 0.2634 0.8416  6 Ho 3.53-3.55, 5 Tb 3.54-3.55, 1 Nd 3.55

Calculated values
SG ... No. 148
Formation energy ... 18 meV/atom
ΔE to the lowest computed polymorph ... 0.00 kJ per mole of atoms


Below is crystalline TlTeN2Cl at its relaxed geometry, with properties calculated at the PBE level.

abc: 4.3559 4.3559 5.5124
angles: 90.00 90.00 90.00
Closest atoms and distances in Å follow each position.
Fractional coordinates of all 5 atoms:
Tl: 0.0000 0.0000 0.0000  4 Te 3.08
Te: 0.5000 0.5000 0.0000  2 Cl 2.76, 4 Tl 3.08
N: 0.0000 0.5000 0.5000  2 Cl 2.18
N: 0.5000 0.0000 0.5000  2 Cl 2.18
Cl: 0.5000 0.5000 0.5000  4 N 2.18

Calculated values
SG ... No. 123
E_form (uncorrected) ... 2.001 eV/atom
ΔE to the lowest computed polymorph ... 27.29 kJ per mole of atoms


Below is crystalline YTaCd2 at its relaxed geometry, with properties calculated at the PBE level.

abc: 5.2586 5.2586 3.1730
angles: 90.00 90.00 90.00
Closest atoms and distances in Å follow each position.
Fractional coordinates of all 4 atoms:
Y: 0.0000 0.0000 0.0000  8 Cd 3.07, 2 Y 3.17
Ta: 0.5000 0.5000 0.0000  8 Cd 3.07, 2 Ta 3.17
Cd: 0.0000 0.5000 0.5000  4 Ta 3.07, 4 Y 3.07, 2 Cd 3.17
Cd: 0.5000 0.0000 0.5000  4 Ta 3.07, 4 Y 3.07, 2 Cd 3.17

Calculated values
SG ... No. 123
Formation energy ... 236 meV/atom
ΔE to the lowest computed polymorph ... 11.53 kJ per mole of atoms


Below is crystalline LaHf2MoW at its relaxed geometry, with properties calculated at the PBE level.

abc: 4.9960 4.9960 5.1001
angles: 90.00 90.00 90.00
Closest atoms and distances in Å follow each position.
Fractional coordinates of all 5 atoms:
La: 0.0000 0.0000 0.0000  2 Mo 2.55
Hf: 0.0000 0.5000 0.5000  2 Mo 2.50
Hf: 0.5000 0.0000 0.5000  2 Mo 2.50
Mo: 0.0000 0.0000 0.5000  4 Hf 2.50, 2 La 2.55
W: 0.5000 0.5000 0.0000  4 La 3.53, 8 Hf 3.57

Calculated values
SG ... No. 123
Formation energy ... 1406 meV/atom


Below is crystalline Ba2OsPt at its relaxed geometry, with properties calculated at the PBE level.

abc: 6.2950 6.2950 6.2950
angles: 137.70 137.70 61.37
Closest atoms and distances in Å follow each position.
Fractional coordinates of all 4 atoms:
Ba: 0.0000 0.0000 0.0000  4 Pt 3.21, 4 Ba 3.53, 4 Os 3.53
Ba: 0.7500 0.2500 0.5000  4 Os 3.21, 4 Ba 3.53, 4 Pt 3.53
Os: 0.2500 0.7500 0.5000  8 Ba 3.21-3.53, 4 Pt 3.53
Pt: 0.5000 0.5000 0.0000  8 Ba 3.21-3.53, 4 Os 3.53

Calculated values
SG ... No. 119
Formation energy ... 629 meV/atom
ΔE to the lowest computed polymorph ... 62.43 kJ per mole of atoms


Below is crystalline ThAlNi4 at its relaxed geometry, with properties calculated at the PBE level.

abc: 4.9868 4.9868 4.9868
angles: 60.00 60.00 60.00
Closest atoms and distances in Å follow each position.
Fractional coordinates of all 6 atoms:
Th: 0.0000 0.0000 0.0000  12 Ni 2.93, 4 Al 3.05
Al: 0.2500 0.2500 0.2500  12 Ni 2.92, 4 Th 3.05
Ni: 0.1302 0.6233 0.6233  6 Ni 2.46-2.53
Ni: 0.6233 0.1302 0.6233  6 Ni 2.46-2.53
Ni: 0.6233 0.6233 0.1302  6 Ni 2.46-2.53
Ni: 0.6233 0.6233 0.6233  6 Ni 2.46-2.53

Calculated values
SG ... No. 216
Formation energy ... -438 meV/atom
ΔE to the lowest computed polymorph ... 0.00 kJ per mole of atoms


Below is crystalline UFe6 at its relaxed geometry, with properties calculated at the PBE level.

abc: 5.1813 5.1813 5.1813
angles: 109.47 109.47 109.47
Closest atoms and distances in Å follow each position.
Fractional coordinates of all 7 atoms:
U: 0.0000 0.0000 0.0000  24 Fe 3.34
Fe: 0.2500 0.5000 0.7500  4 Fe 2.12
Fe: 0.2500 0.7500 0.5000  4 Fe 2.12
Fe: 0.5000 0.2500 0.7500  4 Fe 2.12
Fe: 0.5000 0.7500 0.2500  4 Fe 2.12
Fe: 0.7500 0.2500 0.5000  4 Fe 2.12
Fe: 0.7500 0.5000 0.2500  4 Fe 2.12

Calculated values
SG ... No. 229
Formation energy ... 788 meV/atom


| no. | mass density (g/cm3) | raw total energy (eV per atom) |
| --- | --- | --- |
| 1 | 8.08 | -4.467 |
| 2 | 15.64 | -9.311 |
| 3 | 5.55 | -2.299 |
| 4 | 3.48 | -3.967 |
| 5 | 8.56 | -4.587 |
| 6 | 6.28 | -2.800 |
| 7 | 9.36 | -4.800 |
| 8 | 10.12 | -8.318 |
| 9 | 9.81 | -4.650 |
| 10 | 9.35 | -6.153 |
| 11 | 8.89 | -8.078 |